(1)
First-principles (PBE) data for TlSi2Hg after structural relaxation, as listed in Alexandria via LeMat-Bulk.

Cell: 3.406 3.410 8.305 Å, 90.00 98.91 90.00°
Fractional coordinates of all 4 atoms:
Tl (0.000, 0.000, 0.000)
Si (0.109, 0.500, 0.681)
Si (0.583, 0.000, 0.618)
Hg (0.519, 0.500, 0.317)

Total DFT energy (no corrections) (eV per atom): -3.06
Space-group type: Pm
Calculated density (g/cm3): 8.04
Offset from the most stable computed form (eV/atom): 0.142

---

(2)
First-principles (PBE) data for TlSi2Hg after structural relaxation, as listed in Alexandria via LeMat-Bulk.

Cell: 4.991 4.991 4.991 Å, 60.00 60.00 60.00°
Fractional coordinates of all 4 atoms:
Tl (0.000, 0.000, 0.000)
Si (0.250, 0.250, 0.250)
Si (0.750, 0.750, 0.750)
Hg (0.500, 0.500, 0.500)

Total DFT energy (no corrections) (eV per atom): -2.70
Space-group type: Fm-3m
Calculated density (g/cm3): 8.71
Offset from the most stable computed form (eV/atom): 0.509

---

Raw formation energy, respectively: 315; 682 meV/atom.